# CsScAg2, relaxed, DFT PBE-GGA
# DFT formation energy: 44.55 kJ/mol of atoms
# space group: I-42d, No. 122
data_CsScAg2
_chemical_formula_sum 'Cs2 Sc2 Ag4'
_space_group_name_H-M_alt 'P 1'
_space_group_IT_number 1
_cell_length_a 8.438
_cell_length_b 8.438
_cell_length_c 7.096
_cell_angle_alpha 53.52
_cell_angle_beta 53.52
_cell_angle_gamma 90.00
loop_
_space_group_symop_operation_xyz
'x,y,z'
loop_
_atom_site_label
_atom_site_type_symbol
_atom_site_fract_x
_atom_site_fract_y
_atom_site_fract_z
Cs1 Cs 0.000 0.000 0.000
Cs2 Cs 0.750 0.250 0.500
Sc1 Sc 0.500 0.500 0.000
Sc2 Sc 0.250 0.750 0.500
Ag1 Ag 0.558 0.125 0.250
Ag2 Ag 0.192 0.625 0.250
Ag3 Ag 0.375 0.442 0.750
Ag4 Ag 0.875 0.808 0.750